(1)
DFT (PBE-GGA) results for a relaxed structure of Na4U3CoN8.

Properties
- DOS(E_F): 0.18 states/eV per atom
- V: 14.20 Å³/atom
- DFT total energy: -249.325 eV/cell

Unit cell a=12.2098 b=6.5739 c=6.7409 alpha=90.00 beta=122.85 gamma=90.00
Space group C2/m (No. 12)
One atom of each set of equivalent atoms:
1 Na 0.0000 0.0000 0.0000 x2
2 Na 0.0000 0.5000 0.0000 x2
3 Na 0.2500 0.2500 0.0000 x4
4 U 0.0000 0.0000 0.5000 x2
5 U 0.2500 0.2500 0.5000 x4
6 Co 0.0000 0.5000 0.5000 x2
7 N 0.0301 0.2535 0.3315 x8
8 N 0.2265 0.0000 0.6894 x4
9 N 0.2326 0.0000 0.2862 x4


(2)
DFT (PBE-GGA) results for a relaxed structure of Na3U3CoN8.

Properties
- V: 14.71 Å³/atom
- DFT total energy: -365.133 eV/cell

Unit cell a=6.7315 b=6.7315 c=16.8723 alpha=90.00 beta=90.00 gamma=120.00
Space group R-3m (No. 166, hexagonal axes)
One atom of each set of equivalent atoms:
1 Na 0.0000 0.5000 0.0000 x9
2 U 0.0000 0.5000 0.5000 x9
3 Co 0.0000 0.0000 0.5000 x3
4 N 0.0000 0.0000 0.2298 x6
5 N 0.0008 0.5004 0.2246 x18


(3)
DFT (PBE-GGA) results for a relaxed structure of NaCoWN3.

Properties
- DOS(E_F): 0.52 states/eV per atom
- V: 13.37 Å³/atom
- DFT total energy: -94.394 eV/cell

Unit cell a=6.1949 b=3.0799 c=8.4381 alpha=90.00 beta=94.78 gamma=90.00
Space group P2_1/m (No. 11)
One atom of each set of equivalent atoms:
1 Na 0.0774 0.2500 0.2796 x2
2 Co 0.4230 0.2500 0.9044 x2
3 W 0.4223 0.7500 0.6452 x2
4 N 0.2361 0.2500 0.7045 x2
5 N 0.3514 0.7500 0.4129 x2
6 N 0.4060 0.2500 0.1228 x2


(4)
DFT (PBE-GGA) results for a relaxed structure of Nb2Co2N.

Properties
- DOS(E_F): 1.09 states/eV per atom
- V: 13.96 Å³/atom
- DFT total energy: -85.345 eV/cell
- Relative energy among the computed polymorphs: 0.000 eV per atom

Unit cell a=5.7142 b=5.7142 c=4.2741 alpha=90.00 beta=90.00 gamma=90.00
Space group P4/mbm (No. 127)
One atom of each set of equivalent atoms:
1 Nb 0.1750 0.3250 0.0000 x4
2 Co 0.1418 0.6418 0.5000 x4
3 N 0.0000 0.0000 0.0000 x2


(5)
DFT (PBE-GGA) results for a relaxed structure of NbCoN2.

Properties
- DOS(E_F): 0.68 states/eV per atom
- V: 12.52 Å³/atom
- DFT total energy: -104.214 eV/cell

Unit cell a=3.1387 b=3.1387 c=17.6027 alpha=90.00 beta=90.00 gamma=120.00
Space group R-3m (No. 166, hexagonal axes)
One atom of each set of equivalent atoms:
1 Nb 0.0000 0.0000 0.0000 x3
2 Co 0.0000 0.0000 0.5000 x3
3 N 0.0000 0.0000 0.3965 x6


(6)
DFT (PBE-GGA) results for a relaxed structure of NbCoN2.

Properties
- DOS(E_F): 0.49 states/eV per atom
- V: 11.75 Å³/atom
- DFT total energy: -140.733 eV/cell

Unit cell a=4.5097 b=4.5097 c=9.2425 alpha=90.00 beta=90.00 gamma=90.00
Space group I-42d (No. 122)
One atom of each set of equivalent atoms:
1 Nb 0.0000 0.0000 0.0000 x4
2 Co 0.0000 0.0000 0.5000 x4
3 N 0.2314 0.2500 0.6250 x8